1:
{
  "formula": "LiGaTe2N",
  "functional": "PBE",
  "state": "optimized geometry",
  "spacegroup": "P4/mmm (123)",
  "magnetic_moment_mub_per_cell": 0.482,
  "lattice_angstrom": [[5.387, 0.000, 0.000], [0.000, 5.387, 0.000], [0.000, 0.000, 3.504]],
  "species": ["Te", "Te", "Li", "Ga", "N"],
  "fractional_positions": [[0.000, 0.500, 0.000], [0.500, 0.000, 0.000], [0.000, 0.000, 0.000], [0.500, 0.500, 0.500], [0.000, 0.000, 0.500]]
}


2:
{
  "formula": "LiGaTe2N",
  "functional": "PBE",
  "state": "optimized geometry",
  "spacegroup": "P4/mmm (123)",
  "magnetic_moment_mub_per_cell": 0.000,
  "lattice_angstrom": [[5.959, 0.000, 0.000], [0.000, 5.959, 0.000], [0.000, 0.000, 3.455]],
  "species": ["Te", "Te", "Li", "Ga", "N"],
  "fractional_positions": [[0.000, 0.500, 0.000], [0.500, 0.000, 0.000], [0.500, 0.500, 0.500], [0.000, 0.000, 0.000], [0.000, 0.000, 0.500]]
}


Most stable to least stable, the ends of the list are 2 and 1.


1:
{
  "formula": "Na2LiGa2",
  "functional": "PBE",
  "state": "optimized geometry",
  "spacegroup": "P4/mbm (127)",
  "magnetic_moment_mub_per_cell": 0.000,
  "lattice_angstrom": [[-4.423, 4.893, -5.402], [-4.763, -6.723, -2.190], [-2.147, 0.733, 2.422]],
  "species": ["Na", "Na", "Na", "Na", "Ga", "Ga", "Ga", "Ga", "Li", "Li"],
  "fractional_positions": [[0.188, 0.688, 0.500], [0.688, 0.812, 0.500], [0.812, 0.312, 0.500], [0.312, 0.188, 0.500], [0.393, 0.893, 0.000], [0.893, 0.607, 0.000], [0.607, 0.107, 0.000], [0.107, 0.393, 0.000], [0.000, 0.000, 0.000], [0.500, 0.500, 0.000]]
}


2:
{
  "formula": "Na2LiGa2",
  "functional": "PBE",
  "state": "optimized geometry",
  "spacegroup": "I4/mmm (139)",
  "magnetic_moment_mub_per_cell": 0.000,
  "lattice_angstrom": [[-1.029, -0.875, 3.958], [-1.264, -3.810, -1.171], [5.323, -4.837, 2.524]],
  "species": ["Na", "Na", "Ga", "Ga", "Li"],
  "fractional_positions": [[0.750, 0.250, 0.500], [0.250, 0.750, 0.500], [0.413, 0.413, 0.175], [0.587, 0.587, 0.825], [0.000, 0.000, 0.000]]
}


Most stable to least stable, the ends of the list are 1 and 2.


1:
{
  "formula": "NaLi3Ga",
  "functional": "PBE",
  "state": "optimized geometry",
  "spacegroup": "Pm-3m (221)",
  "magnetic_moment_mub_per_cell": 0.001,
  "lattice_angstrom": [[5.024, 0.000, 0.000], [0.000, 5.024, 0.000], [0.000, 0.000, 5.024]],
  "species": ["Na", "Ga", "Li", "Li", "Li"],
  "fractional_positions": [[0.500, 0.500, 0.500], [0.000, 0.000, 0.000], [0.000, 0.500, 0.000], [0.000, 0.000, 0.500], [0.500, 0.000, 0.000]]
}


2:
{
  "formula": "NaLi3Ga",
  "functional": "PBE",
  "state": "optimized geometry",
  "spacegroup": "Pm-3m (221)",
  "magnetic_moment_mub_per_cell": 0.000,
  "lattice_angstrom": [[4.949, 0.000, 0.000], [0.000, 4.949, 0.000], [0.000, 0.000, 4.949]],
  "species": ["Na", "Ga", "Li", "Li", "Li"],
  "fractional_positions": [[0.000, 0.000, 0.000], [0.500, 0.500, 0.500], [0.000, 0.500, 0.000], [0.000, 0.000, 0.500], [0.500, 0.000, 0.000]]
}


Most stable to least stable, the ends of the list are 1 and 2.